--- 1 ---
Computed, not measured: an optimized crystal structure of Ni2BiO at the PBE+U level of DFT.

a b c (Å): 4.8575 4.8575 11.2213
angles (deg): 90.00 90.00 90.00
Closest atoms and distances in Å follow each position.
Space group I-42d (No. 122)
Inequivalent atoms, fractional coordinates:
Ni 0.0146 0.2500 0.1250  2 O 1.86
Bi 0.0000 0.0000 0.5000  8 Ni 3.00-3.11
O 0.0000 0.0000 0.0000  4 Ni 1.86

Output
D(E_F): 8.6 states/eV/cell
Crystal system: tetragonal
Total magnetic moment: 2.8 μB per cell

***

--- 2 ---
Computed, not measured: an optimized crystal structure of Ni2BiO at the PBE+U level of DFT.

a b c (Å): 5.9770 5.9770 5.9770
angles (deg): 90.00 90.00 90.00
Closest atoms and distances in Å follow each position.
Space group Fm-3m (No. 225)
Inequivalent atoms, fractional coordinates:
Ni 0.2500 0.2500 0.2500  4 O 2.59, 4 Bi 2.59
Bi 0.0000 0.0000 0.0000  8 Ni 2.59
O 0.0000 0.0000 0.5000  8 Ni 2.59

Output
D(E_F): 6.3 states/eV/cell
Crystal system: cubic
Total magnetic moment: 0.0 μB per cell

***

The structure with the most favorable energy is 1; the runner-up is 814 meV per atom above it.

***

--- 1 ---
Computed, not measured: an optimized crystal structure of NiBi3O at the PBE+U level of DFT.

a b c (Å): 4.8788 4.8788 4.8788
angles (deg): 90.00 90.00 90.00
Closest atoms and distances in Å follow each position.
Space group Pm-3m (No. 221)
Inequivalent atoms, fractional coordinates:
Ni 0.0000 0.0000 0.0000  12 Bi 3.45
Bi 0.0000 0.5000 0.5000  2 O 2.44
O 0.5000 0.5000 0.5000  6 Bi 2.44

Output
D(E_F): 3.1 states/eV/cell
Crystal system: cubic
Total magnetic moment: 0.7 μB per cell

***

--- 2 ---
Computed, not measured: an optimized crystal structure of NiBi3O at the PBE+U level of DFT.

a b c (Å): 5.0457 5.0457 5.0457
angles (deg): 90.00 90.00 90.00
Closest atoms and distances in Å follow each position.
Space group Pm-3m (No. 221)
Inequivalent atoms, fractional coordinates:
Ni 0.0000 0.0000 0.0000  6 Bi 2.52
Bi 0.0000 0.0000 0.5000  2 Ni 2.52
O 0.5000 0.5000 0.5000  12 Bi 3.57

Output
D(E_F): 3.1 states/eV/cell
Crystal system: cubic
Total magnetic moment: 1.6 μB per cell

***

The structure with the most favorable energy is 1; the runner-up is 393 meV per atom above it.

***

--- 1 ---
Computed, not measured: an optimized crystal structure of Ni3BiO at the PBE+U level of DFT.

a b c (Å): 4.9956 4.9956 4.9956
angles (deg): 90.00 90.00 90.00
Closest atoms and distances in Å follow each position.
Space group Pm-3m (No. 221)
Inequivalent atoms, fractional coordinates:
Ni 0.0000 0.0000 0.5000  2 Bi 2.50
Bi 0.0000 0.0000 0.0000  6 Ni 2.50
O 0.5000 0.5000 0.5000  12 Ni 3.53

Output
D(E_F): 5.2 states/eV/cell
Crystal system: cubic
Total magnetic moment: 5.0 μB per cell

***

--- 2 ---
Computed, not measured: an optimized crystal structure of Ni3BiO at the PBE+U level of DFT.

a b c (Å): 4.1453 4.1453 4.1453
angles (deg): 90.00 90.00 90.00
Closest atoms and distances in Å follow each position.
Space group Pm-3m (No. 221)
Inequivalent atoms, fractional coordinates:
Ni 0.0000 0.0000 0.5000  2 O 2.07
Bi 0.5000 0.5000 0.5000  12 Ni 2.93
O 0.0000 0.0000 0.0000  6 Ni 2.07

Output
D(E_F): 1.9 states/eV/cell
Crystal system: cubic
Total magnetic moment: 2.8 μB per cell

***

The structure with the most favorable energy is 2; the runner-up is 1306 meV per atom above it.